[1]
Here is a relaxed TlW3S crystal from the Alexandria database. Energies are from PBE-GGA.

Calculated values
The formation energy from raw total energies is 23.301 kcal/mol of atoms. Its symmetry is Pm-3m (221).

Unit cell a=4.4822 b=4.4822 c=4.4822 alpha=90.00 beta=90.00 gamma=90.00
Last column: nearest neighbours and their distance in Å.
Positions (direct):
1 Tl 0.5000 0.5000 0.5000  12 W 3.17
2 W 0.0000 0.5000 0.0000  2 S 2.24
3 W 0.0000 0.0000 0.5000  2 S 2.24
4 W 0.5000 0.0000 0.0000  2 S 2.24
5 S 0.0000 0.0000 0.0000  6 W 2.24

---

[2]
Here is a relaxed TlWS2 crystal from the Alexandria database. Energies are from PBE-GGA.

Calculated values
The formation energy from raw total energies is -8.852 kcal/mol of atoms. Its symmetry is R-3m (166).

Unit cell a=9.6434 b=9.6434 c=9.6434 alpha=19.58 beta=19.58 gamma=19.58
Last column: nearest neighbours and their distance in Å.
Positions (direct):
1 S 0.1121 0.1121 0.1121  3 W 2.44
2 S 0.8879 0.8879 0.8879  3 W 2.44
3 Tl 0.0000 0.0000 0.0000  2 S 3.18, 6 Tl 3.28
4 W 0.5000 0.5000 0.5000  6 S 2.44

---

[3]
Here is a relaxed TlW2S crystal from the Alexandria database. Energies are from PBE-GGA.

Calculated values
The formation energy from raw total energies is 25.604 kcal/mol of atoms. Its symmetry is Fm-3m (225).

Unit cell a=4.5543 b=4.5543 c=4.5543 alpha=60.00 beta=60.00 gamma=60.00
Last column: nearest neighbours and their distance in Å.
Positions (direct):
1 W 0.7500 0.7500 0.7500  4 Tl 2.79, 4 S 2.79
2 W 0.2500 0.2500 0.2500  4 S 2.79, 4 Tl 2.79
3 S 0.0000 0.0000 0.0000  8 W 2.79
4 Tl 0.5000 0.5000 0.5000  8 W 2.79

---

[4]
Here is a relaxed Y5TlS4 crystal from the Alexandria database. Energies are from PBE-GGA.

Calculated values
The formation energy from raw total energies is -37.522 kcal/mol of atoms. Its symmetry is C2/m (12).

Unit cell a=3.9425 b=6.9815 c=9.0797 alpha=76.25 beta=77.46 gamma=73.60
Last column: nearest neighbours and their distance in Å.
Positions (direct):
1 Y 0.0000 0.5000 0.5000  6 S 2.80-2.81
2 Y 0.7960 0.0931 0.3148  5 S 2.77-2.82, 1 Tl 2.97
3 Y 0.2040 0.9069 0.6852  5 S 2.77-2.82, 1 Tl 2.97
4 S 0.2023 0.3839 0.2114  6 Y 2.75-2.94
5 S 0.7977 0.6161 0.7886  6 Y 2.75-2.94
6 S 0.5966 0.2082 0.5987  6 Y 2.77-2.85
7 Y 0.6120 0.6639 0.1121  4 S 2.75-2.94, 2 Tl 3.02
8 S 0.4034 0.7918 0.4013  6 Y 2.77-2.85
9 Tl 0.0000 0.0000 0.0000  6 Y 2.97-3.02
10 Y 0.3880 0.3361 0.8879  4 S 2.75-2.94, 2 Tl 3.02

---

[5]
Here is a relaxed Y3TlS crystal from the Alexandria database. Energies are from PBE-GGA.

Calculated values
The formation energy from raw total energies is -23.457 kcal/mol of atoms. Its symmetry is Pnma (62).

Unit cell a=3.9460 b=9.0365 c=14.8209 alpha=90.00 beta=90.00 gamma=90.00
Last column: nearest neighbours and their distance in Å.
Positions (direct):
1 Y 0.2500 0.6663 0.9887  2 S 2.70
2 S 0.7500 0.3402 0.4454  6 Y 2.68-2.74
3 Y 0.2500 0.5285 0.3893  3 S 2.72-2.74
4 Y 0.2500 0.0285 0.1107  3 S 2.72-2.74
5 Y 0.7500 0.7082 0.2162  1 S 2.68
6 Tl 0.2500 0.9316 0.3275  8 Y 3.22-3.45
7 Y 0.7500 0.3337 0.0113  2 S 2.70
8 Tl 0.2500 0.4316 0.1725  8 Y 3.22-3.45
9 Y 0.7500 0.8337 0.4887  2 S 2.70
10 Y 0.7500 0.9715 0.8893  3 S 2.72-2.74
11 Y 0.2500 0.1663 0.5113  2 S 2.70
12 S 0.2500 0.1598 0.9454  6 Y 2.68-2.74
13 Y 0.2500 0.2918 0.7838  1 S 2.68
14 S 0.7500 0.8402 0.0546  6 Y 2.68-2.74
15 S 0.2500 0.6598 0.5546  6 Y 2.68-2.74
16 Y 0.7500 0.4715 0.6107  3 S 2.72-2.74
17 Y 0.2500 0.7918 0.7162  1 S 2.68
18 Tl 0.7500 0.0684 0.6725  8 Y 3.22-3.45
19 Y 0.7500 0.2082 0.2838  1 S 2.68
20 Tl 0.7500 0.5684 0.8275  8 Y 3.22-3.45

---

[6]
Here is a relaxed Y4TlS2 crystal from the Alexandria database. Energies are from PBE-GGA.

Calculated values
The formation energy from raw total energies is -30.334 kcal/mol of atoms. Its symmetry is Cmcm (63).

Unit cell a=3.9606 b=6.8749 c=13.5894 alpha=90.00 beta=90.00 gamma=106.74
Last column: nearest neighbours and their distance in Å.
Positions (direct):
1 Y 0.2343 0.4686 0.6149  3 S 2.70-2.75
2 S 0.8664 0.7328 0.9415  6 Y 2.70-2.77
3 Y 0.7657 0.5314 0.1149  3 S 2.70-2.75
4 Y 0.5000 0.0000 0.5000  4 S 2.77
5 Y 0.9265 0.8530 0.7500  2 S 2.72
6 S 0.1336 0.2672 0.0585  6 Y 2.70-2.77
7 Y 0.7657 0.5314 0.3851  3 S 2.70-2.75
8 Y 0.2343 0.4686 0.8851  3 S 2.70-2.75
9 Tl 0.3915 0.7830 0.2500  6 Y 3.11-3.17
10 Tl 0.6085 0.2170 0.7500  6 Y 3.11-3.17
11 S 0.8664 0.7328 0.5585  6 Y 2.70-2.77
12 Y 0.5000 0.0000 0.0000  4 S 2.77
13 Y 0.0735 0.1470 0.2500  2 S 2.72
14 S 0.1336 0.2672 0.4415  6 Y 2.70-2.77

---

[7]
Here is a relaxed Y6Tl2S crystal from the Alexandria database. Energies are from PBE-GGA.

Calculated values
The formation energy from raw total energies is -14.236 kcal/mol of atoms. Its symmetry is P2_1/c (14).

Unit cell a=6.5108 b=8.1136 c=9.8830 alpha=90.00 beta=90.25 gamma=90.00
Last column: nearest neighbours and their distance in Å.
Positions (direct):
1 Y 0.3817 0.5297 0.2627  1 S 2.72
2 Tl 0.4340 0.1156 0.7540  8 Y 3.12-3.41
3 S 0.5000 0.5000 0.0000  6 Y 2.72-2.78
4 Y 0.1183 0.0297 0.2373  1 S 2.72
5 Y 0.1504 0.3226 0.9443  1 S 2.75
6 Y 0.8496 0.6774 0.0557  1 S 2.75
7 Y 0.6183 0.4703 0.7373  1 S 2.72
8 Y 0.8817 0.9703 0.7627  1 S 2.72
9 Tl 0.9340 0.3844 0.2540  8 Y 3.12-3.41
10 S 0.0000 0.0000 0.5000  6 Y 2.72-2.78
11 Tl 0.0660 0.6156 0.7460  8 Y 3.12-3.41
12 Y 0.3496 0.8226 0.5557  1 S 2.75
13 Y 0.8517 0.6863 0.4445  1 S 2.78
14 Tl 0.5660 0.8844 0.2460  8 Y 3.12-3.41
15 Y 0.6504 0.1774 0.4443  1 S 2.75
16 Y 0.3517 0.8137 0.9445  1 S 2.78
17 Y 0.1483 0.3137 0.5555  1 S 2.78
18 Y 0.6483 0.1863 0.0555  1 S 2.78

---

[8]
Here is a relaxed YTl3S crystal from the Alexandria database. Energies are from PBE-GGA.

Calculated values
The formation energy from raw total energies is 6.310 kcal/mol of atoms. Its symmetry is Pm-3m (221).

Unit cell a=5.4537 b=5.4537 c=5.4537 alpha=90.00 beta=90.00 gamma=90.00
Last column: nearest neighbours and their distance in Å.
Positions (direct):
1 Tl 0.5000 0.0000 0.0000  2 S 2.73
2 S 0.0000 0.0000 0.0000  6 Tl 2.73
3 Y 0.5000 0.5000 0.5000  12 Tl 3.86
4 Tl 0.0000 0.0000 0.5000  2 S 2.73
5 Tl 0.0000 0.5000 0.0000  2 S 2.73

---

[9]
Here is a relaxed YTlS14 crystal from the Alexandria database. Energies are from PBE-GGA.

Calculated values
The formation energy from raw total energies is -5.235 kcal/mol of atoms. Its symmetry is C2/c (15).

Unit cell a=20.2181 b=16.0258 c=16.0258 alpha=31.22 beta=26.17 gamma=26.17
Last column: nearest neighbours and their distance in Å.
Positions (direct):
1 Y 0.0000 0.0000 0.5000  6 S 2.76-2.83
2 S 0.2261 0.4041 0.4471  1 S 2.01
3 S 0.7226 0.2671 0.9554  2 S 2.01-2.08
4 S 0.6832 0.3781 0.1442  2 S 2.07
5 S 0.3168 0.6219 0.8558  2 S 2.07
6 S 0.1565 0.2674 0.9595  2 S 2.01-2.08
7 S 0.2982 0.7030 0.6006  2 S 2.06-2.07
8 S 0.7739 0.5959 0.5529  1 S 2.01
9 S 0.3728 0.9848 0.5025  1 S 2.06
10 S 0.6565 0.4595 0.7674  2 S 2.01-2.08
11 S 0.7261 0.9471 0.9041  1 S 2.01
12 S 0.1904 0.6125 0.5671  1 S 2.01
13 S 0.8096 0.3875 0.4329  1 S 2.01
14 S 0.7774 0.5446 0.2329  2 S 2.01-2.08
15 S 0.2739 0.0529 0.0959  1 S 2.01
16 S 0.8435 0.7326 0.0405  2 S 2.01-2.08
17 S 0.1832 0.6442 0.8781  2 S 2.07
18 S 0.3096 0.9329 0.8875  1 S 2.01
19 S 0.6904 0.0671 0.1125  1 S 2.01
20 S 0.6272 0.0152 0.4975  1 S 2.06
21 Y 0.5000 0.0000 0.5000  6 S 2.76-2.83
22 S 0.3435 0.5405 0.2326  2 S 2.01-2.08
23 S 0.2018 0.8994 0.7970  2 S 2.06-2.07
24 S 0.1272 0.9975 0.5152  1 S 2.06
25 S 0.7018 0.2970 0.3994  2 S 2.06-2.07
26 S 0.8168 0.3558 0.1219  2 S 2.07
27 S 0.7982 0.1006 0.2030  2 S 2.06-2.07
28 Tl 0.7500 0.7730 0.7270  2 S 3.07
29 S 0.8728 0.0025 0.4848  1 S 2.06
30 S 0.2774 0.7329 0.0446  2 S 2.01-2.08
31 S 0.2226 0.4554 0.7671  2 S 2.01-2.08
32 Tl 0.2500 0.2270 0.2730  2 S 3.07

---

[10]
Here is a relaxed Y7TlS5 crystal from the Alexandria database. Energies are from PBE-GGA.

Calculated values
The formation energy from raw total energies is -37.715 kcal/mol of atoms. Its symmetry is C2/m (12).

Unit cell a=3.9353 b=6.8381 c=23.5801 alpha=89.99 beta=90.00 gamma=106.77
Last column: nearest neighbours and their distance in Å.
Positions (direct):
1 S 0.2736 0.5474 0.0699  6 Y 2.72-2.79
2 Y 0.3635 0.7273 0.5356  6 S 2.73-2.79
3 Y 0.0931 0.1862 0.6096  5 S 2.75-2.86
4 S 0.2738 0.5478 0.4301  6 Y 2.72-2.80
5 Y 0.1751 0.3507 0.3285  3 S 2.72-2.73
6 Y 0.1748 0.3501 0.1714  3 S 2.72-2.73
7 Y 0.6370 0.2737 0.0356  6 S 2.73-2.79
8 Y 0.0933 0.1864 0.8904  5 S 2.74-2.86
9 Y 0.9073 0.8146 0.1096  5 S 2.74-2.86
10 S 0.0003 0.0006 0.5000  6 Y 2.79-2.86
11 Y 0.9075 0.8151 0.3904  5 S 2.75-2.86
12 S 0.4567 0.9135 0.6390  6 Y 2.72-2.75
13 Y 0.8257 0.6509 0.8286  3 S 2.72-2.73
14 Tl 0.8016 0.6024 0.2499  6 Y 3.11-3.17
15 Tl 0.1990 0.3987 0.7501  6 Y 3.11-3.17
16 Y 0.8256 0.6506 0.6715  3 S 2.72-2.73
17 S 0.5439 0.0878 0.3610  6 Y 2.72-2.75
18 Y 0.6371 0.2740 0.4644  6 S 2.73-2.79
19 Y 0.5151 0.0301 0.7500  2 S 2.73
20 Y 0.4855 0.9710 0.2500  2 S 2.73
21 Y 0.3635 0.7272 0.9644  6 S 2.73-2.79
22 S 0.0002 0.0005 0.0000  6 Y 2.79-2.86
23 S 0.7269 0.4536 0.9301  6 Y 2.72-2.79
24 S 0.4568 0.9138 0.8610  6 Y 2.72-2.75
25 S 0.7269 0.4535 0.5699  6 Y 2.72-2.80
26 S 0.5437 0.0872 0.1390  6 Y 2.72-2.75

---

Copy entry 7 word for word.
Here is a relaxed Y6Tl2S crystal from the Alexandria database. Energies are from PBE-GGA.

Calculated values
The formation energy from raw total energies is -14.236 kcal/mol of atoms. Its symmetry is P2_1/c (14).

Unit cell a=6.5108 b=8.1136 c=9.8830 alpha=90.00 beta=90.25 gamma=90.00
Last column: nearest neighbours and their distance in Å.
Positions (direct):
1 Y 0.3817 0.5297 0.2627  1 S 2.72
2 Tl 0.4340 0.1156 0.7540  8 Y 3.12-3.41
3 S 0.5000 0.5000 0.0000  6 Y 2.72-2.78
4 Y 0.1183 0.0297 0.2373  1 S 2.72
5 Y 0.1504 0.3226 0.9443  1 S 2.75
6 Y 0.8496 0.6774 0.0557  1 S 2.75
7 Y 0.6183 0.4703 0.7373  1 S 2.72
8 Y 0.8817 0.9703 0.7627  1 S 2.72
9 Tl 0.9340 0.3844 0.2540  8 Y 3.12-3.41
10 S 0.0000 0.0000 0.5000  6 Y 2.72-2.78
11 Tl 0.0660 0.6156 0.7460  8 Y 3.12-3.41
12 Y 0.3496 0.8226 0.5557  1 S 2.75
13 Y 0.8517 0.6863 0.4445  1 S 2.78
14 Tl 0.5660 0.8844 0.2460  8 Y 3.12-3.41
15 Y 0.6504 0.1774 0.4443  1 S 2.75
16 Y 0.3517 0.8137 0.9445  1 S 2.78
17 Y 0.1483 0.3137 0.5555  1 S 2.78
18 Y 0.6483 0.1863 0.0555  1 S 2.78